DFT (GGA-PBEsol) results for SrLi2NiGe after structural relaxation.

```
SrLi2NiGe
1.0
4.457 0.000 0.000
0.000 4.726 0.000
0.000 0.000 4.726
Sr Ge Li Ni
1 1 2 1
Direct
0.500 0.500 0.500
0.500 0.000 0.000
0.000 0.000 0.500
0.000 0.500 0.000
0.000 0.000 0.000
```

## Properties
The formation energy from the elements is -0.227 eV/atom. The total energy is -18.01 eV for the cell shown.